A plane-wave DFT calculation with PBE with a Hubbard U was carried out for Nb2MoRhF after structural relaxation.

Unit cell a=4.827 b=4.827 c=5.176 alpha=90.00 beta=90.00 gamma=90.00
Fractional coordinates of all 5 atoms:
1 Nb 0.000 0.500 0.000
2 Nb 0.500 0.000 0.000
3 Mo 0.000 0.000 0.500
4 Rh 0.000 0.000 0.000
5 F 0.500 0.500 0.500

Calculated values
Density of states at the Fermi level (states/eV per cell): 5.56
Crystal system: tetragonal
Mass density (g/cm3): 5.6
DFT total energy (eV per atom): -6.165